Entry a
Density functional theory data (GGA-PBEsol) for LiP2Br after structural relaxation.

Properties
- crystal system = tetragonal
- DOS(E_F) (states/eV/cell) = 1.051

CIF file:
```
data_LiP2Br
_chemical_formula_sum 'Li1 P2 Br1'
_symmetry_space_group_name_H-M 'P 4 m m'
_symmetry_Int_Tables_number 99
_cell_length_a 3.354
_cell_length_b 3.354
_cell_length_c 6.449
_cell_angle_alpha 90.00
_cell_angle_beta 90.00
_cell_angle_gamma 90.00
loop_
_symmetry_equiv_pos_as_xyz
'x,y,z'
'-y,x,z'
'-x,-y,z'
'y,-x,z'
'-x,y,z'
'y,x,z'
'x,-y,z'
'-y,-x,z'
loop_
_atom_site_label
_atom_site_type_symbol
_atom_site_fract_x
_atom_site_fract_y
_atom_site_fract_z
Li1 Li 0.000 0.000 0.000
P1 P 0.000 0.000 0.401
P2 P 0.500 0.500 0.425
Br1 Br 0.500 0.500 0.884
```

=====

Entry b
Density functional theory data (GGA-PBEsol) for LiP2Br after structural relaxation.

Properties
- crystal system = orthorhombic
- DOS(E_F) (states/eV/cell) = 6.298

CIF file:
```
data_LiP2Br
_chemical_formula_sum 'Li4 P8 Br4'
_symmetry_space_group_name_H-M 'F m m m'
_symmetry_Int_Tables_number 69
_symmetry_space_group_name_Hall '-F 2 2'
_cell_length_a 4.729
_cell_length_b 4.753
_cell_length_c 15.001
_cell_angle_alpha 90.00
_cell_angle_beta 90.00
_cell_angle_gamma 90.00
loop_
_atom_site_label
_atom_site_type_symbol
_atom_site_fract_x
_atom_site_fract_y
_atom_site_fract_z
Li1 Li 0.000 0.000 0.000
P1 P 0.000 0.250 0.250
Br1 Br 0.000 0.000 0.500
```

=====

Most stable of them? entry a.

=====

Entry a
Density functional theory data (GGA-PBEsol) for Zn2ReRu after structural relaxation.

Properties
- crystal system = orthorhombic
- DOS(E_F) (states/eV/cell) = 5.542

CIF file:
```
data_Zn2ReRu
_chemical_formula_sum 'Zn4 Re2 Ru2'
_symmetry_space_group_name_H-M 'I m m m'
_symmetry_Int_Tables_number 71
_symmetry_space_group_name_Hall '-I 2 2'
_cell_length_a 2.818
_cell_length_b 4.477
_cell_length_c 8.765
_cell_angle_alpha 90.00
_cell_angle_beta 90.00
_cell_angle_gamma 90.00
loop_
_atom_site_label
_atom_site_type_symbol
_atom_site_fract_x
_atom_site_fract_y
_atom_site_fract_z
Zn1 Zn 0.000 0.000 0.245
Re1 Re 0.000 0.500 0.000
Ru1 Ru 0.000 0.500 0.500
```

=====

Entry b
Density functional theory data (GGA-PBEsol) for Zn2ReRu after structural relaxation.

Properties
- crystal system = trigonal
- DOS(E_F) (states/eV/cell) = 9.570

CIF file:
```
data_Zn2ReRu
_chemical_formula_sum 'Zn6 Re3 Ru3'
_symmetry_space_group_name_H-M 'R -3 m'
_symmetry_Int_Tables_number 166
_symmetry_space_group_name_Hall '-R 3 2"'
_cell_length_a 2.7155
_cell_length_b 2.7155
_cell_length_c 25.8317
_cell_angle_alpha 90.00
_cell_angle_beta 90.00
_cell_angle_gamma 120.00
loop_
_atom_site_label
_atom_site_type_symbol
_atom_site_fract_x
_atom_site_fract_y
_atom_site_fract_z
Zn1 Zn 0.0000 0.0000 0.2480
Re1 Re 0.0000 0.0000 0.0000
Ru1 Ru 0.0000 0.0000 0.5000
```

=====

Most stable of them? entry b.

=====

Entry a
Density functional theory data (GGA-PBEsol) for SiPCl after structural relaxation.

Properties
- crystal system = orthorhombic
- DOS(E_F) (states/eV/cell) = 4.550

CIF file:
```
data_SiPCl
_chemical_formula_sum 'Si4 P4 Cl4'
_symmetry_space_group_name_H-M 'F m m 2'
_symmetry_Int_Tables_number 42
_symmetry_space_group_name_Hall 'F 2 -2'
_cell_length_a 3.299
_cell_length_b 5.585
_cell_length_c 12.948
_cell_angle_alpha 90.00
_cell_angle_beta 90.00
_cell_angle_gamma 90.00
loop_
_atom_site_label
_atom_site_type_symbol
_atom_site_fract_x
_atom_site_fract_y
_atom_site_fract_z
Si1 Si 0.000 0.000 0.000
P1 P 0.000 0.000 0.386
Cl1 Cl 0.000 0.000 0.643
```

=====

Entry b
Density functional theory data (GGA-PBEsol) for SiPCl after structural relaxation.

Properties
- crystal system = cubic
- DOS(E_F) (states/eV/cell) = 3.509

CIF file:
```
data_SiPCl
_chemical_formula_sum 'Si4 P4 Cl4'
_symmetry_space_group_name_H-M 'F -4 3 m'
_symmetry_Int_Tables_number 216
_symmetry_space_group_name_Hall 'F -4 2 3'
_cell_length_a 6.068
_cell_length_b 6.068
_cell_length_c 6.068
_cell_angle_alpha 90.00
_cell_angle_beta 90.00
_cell_angle_gamma 90.00
loop_
_atom_site_label
_atom_site_type_symbol
_atom_site_fract_x
_atom_site_fract_y
_atom_site_fract_z
Si1 Si 0.000 0.000 0.000
P1 P 0.250 0.250 0.750
Cl1 Cl 0.000 0.000 0.500
```

=====

Most stable of them? entry a.

=====

Entry a
Density functional theory data (GGA-PBEsol) for MoIrRu2 after structural relaxation.

Properties
- crystal system = orthorhombic
- DOS(E_F) (states/eV/cell) = 12.370

CIF file:
```
data_MoIrRu2
_chemical_formula_sum 'Mo4 Ir4 Ru8'
_symmetry_space_group_name_H-M 'F 2 2 2'
_symmetry_Int_Tables_number 22
_symmetry_space_group_name_Hall 'F 2 2'
_cell_length_a 5.396
_cell_length_b 5.407
_cell_length_c 7.640
_cell_angle_alpha 90.00
_cell_angle_beta 90.00
_cell_angle_gamma 90.00
loop_
_atom_site_label
_atom_site_type_symbol
_atom_site_fract_x
_atom_site_fract_y
_atom_site_fract_z
Mo1 Mo 0.000 0.000 0.000
Ir1 Ir 0.250 0.250 0.750
Ru1 Ru 0.000 0.000 0.500
Ru2 Ru 0.250 0.250 0.250
```

=====

Entry b
Density functional theory data (GGA-PBEsol) for MoIrRu2 after structural relaxation.

Properties
- crystal system = monoclinic
- DOS(E_F) (states/eV/cell) = 8.625

CIF file:
```
data_MoIrRu2
_chemical_formula_sum 'Mo2 Ir2 Ru4'
_symmetry_space_group_name_H-M 'C 1 m 1'
_symmetry_Int_Tables_number 8
_cell_length_a 8.977
_cell_length_b 2.705
_cell_length_c 4.674
_cell_angle_alpha 90.00
_cell_angle_beta 100.23
_cell_angle_gamma 90.00
loop_
_symmetry_equiv_pos_as_xyz
'x,y,z'
'x,-y,z'
'x+1/2,y+1/2,z'
'x+1/2,-y+1/2,z'
loop_
_atom_site_label
_atom_site_type_symbol
_atom_site_fract_x
_atom_site_fract_y
_atom_site_fract_z
Mo1 Mo 0.000 0.000 0.000
Ir1 Ir 0.250 0.500 0.250
Ru1 Ru 0.001 0.500 0.507
Ru2 Ru 0.248 0.000 0.742
```

=====

Most stable of them? entry a.

=====

Entry a
Density functional theory data (GGA-PBEsol) for MgCdPb2 after structural relaxation.

Properties
- crystal system = tetragonal
- DOS(E_F) (states/eV/cell) = 3.100

CIF file:
```
data_MgCdPb2
_chemical_formula_sum 'Mg2 Cd2 Pb4'
_symmetry_space_group_name_H-M 'I 4/m m m'
_symmetry_Int_Tables_number 139
_symmetry_space_group_name_Hall '-I 4 2'
_cell_length_a 4.782
_cell_length_b 4.782
_cell_length_c 9.014
_cell_angle_alpha 90.00
_cell_angle_beta 90.00
_cell_angle_gamma 90.00
loop_
_atom_site_label
_atom_site_type_symbol
_atom_site_fract_x
_atom_site_fract_y
_atom_site_fract_z
Mg1 Mg 0.000 0.000 0.000
Cd1 Cd 0.000 0.000 0.500
Pb1 Pb 0.000 0.500 0.250
```

=====

Entry b
Density functional theory data (GGA-PBEsol) for MgCdPb2 after structural relaxation.

Properties
- crystal system = orthorhombic
- DOS(E_F) (states/eV/cell) = 3.460

CIF file:
```
data_MgCdPb2
_chemical_formula_sum 'Mg2 Cd2 Pb4'
_symmetry_space_group_name_H-M 'C m m m'
_symmetry_Int_Tables_number 65
_symmetry_space_group_name_Hall '-C 2 2'
_cell_length_a 3.800
_cell_length_b 5.533
_cell_length_c 10.051
_cell_angle_alpha 90.00
_cell_angle_beta 90.00
_cell_angle_gamma 90.00
loop_
_atom_site_label
_atom_site_type_symbol
_atom_site_fract_x
_atom_site_fract_y
_atom_site_fract_z
Mg1 Mg 0.000 0.000 0.000
Cd1 Cd 0.000 0.000 0.500
Pb1 Pb 0.000 0.500 0.248
```

=====

Entry c
Density functional theory data (GGA-PBEsol) for MgCdPb2 after structural relaxation.

Properties
- crystal system = monoclinic
- DOS(E_F) (states/eV/cell) = 3.389

CIF file:
```
data_MgCdPb2
_chemical_formula_sum 'Mg2 Cd2 Pb4'
_symmetry_space_group_name_H-M 'C 1 2/m 1'
_symmetry_Int_Tables_number 12
_cell_length_a 10.149
_cell_length_b 3.461
_cell_length_c 6.057
_cell_angle_alpha 90.00
_cell_angle_beta 101.13
_cell_angle_gamma 90.00
loop_
_symmetry_equiv_pos_as_xyz
'x,y,z'
'-x,-y,-z'
'-x,y,-z'
'x,-y,z'
'x+1/2,y+1/2,z'
'-x+1/2,-y+1/2,-z'
'-x+1/2,y+1/2,-z'
'x+1/2,-y+1/2,z'
loop_
_atom_site_label
_atom_site_type_symbol
_atom_site_fract_x
_atom_site_fract_y
_atom_site_fract_z
Mg1 Mg 0.000 0.000 0.000
Cd1 Cd 0.000 0.500 0.500
Pb1 Pb 0.249 0.500 0.248
```

=====

Most stable of them? entry a.

=====

Entry a
Density functional theory data (GGA-PBEsol) for Ir2OsRu after structural relaxation.

Properties
- crystal system = tetragonal
- DOS(E_F) (states/eV/cell) = 2.886

CIF file:
```
data_Ir2OsRu
_chemical_formula_sum 'Ir2 Os1 Ru1'
_symmetry_space_group_name_H-M 'P 4/m m m'
_symmetry_Int_Tables_number 123
_symmetry_space_group_name_Hall '-P 4 2'
_cell_length_a 3.800
_cell_length_b 3.800
_cell_length_c 3.827
_cell_angle_alpha 90.00
_cell_angle_beta 90.00
_cell_angle_gamma 90.00
loop_
_atom_site_label
_atom_site_type_symbol
_atom_site_fract_x
_atom_site_fract_y
_atom_site_fract_z
Ir1 Ir 0.000 0.500 0.000
Os1 Os 0.000 0.000 0.500
Ru1 Ru 0.500 0.500 0.500
```

=====

Entry b
Density functional theory data (GGA-PBEsol) for Ir2OsRu after structural relaxation.

Properties
- crystal system = monoclinic
- DOS(E_F) (states/eV/cell) = 6.373

CIF file:
```
data_Ir2OsRu
_chemical_formula_sum 'Ir4 Os2 Ru2'
_symmetry_space_group_name_H-M 'C 1 2/m 1'
_symmetry_Int_Tables_number 12
_cell_length_a 8.955
_cell_length_b 2.692
_cell_length_c 4.660
_cell_angle_alpha 90.00
_cell_angle_beta 99.98
_cell_angle_gamma 90.00
loop_
_symmetry_equiv_pos_as_xyz
'x,y,z'
'-x,-y,-z'
'-x,y,-z'
'x,-y,z'
'x+1/2,y+1/2,z'
'-x+1/2,-y+1/2,-z'
'-x+1/2,y+1/2,-z'
'x+1/2,-y+1/2,z'
loop_
_atom_site_label
_atom_site_type_symbol
_atom_site_fract_x
_atom_site_fract_y
_atom_site_fract_z
Ir1 Ir 0.249 0.000 0.250
Os1 Os 0.000 0.500 0.000
Ru1 Ru 0.000 0.000 0.500
```

=====

Most stable of them? entry a.

=====

Entry a
Density functional theory data (GGA-PBEsol) for LaReSb2 after structural relaxation.

Properties
- crystal system = tetragonal
- DOS(E_F) (states/eV/cell) = 4.362

CIF file:
```
data_LaReSb2
_chemical_formula_sum 'La1 Re1 Sb2'
_symmetry_space_group_name_H-M 'P 4/m m m'
_symmetry_Int_Tables_number 123
_symmetry_space_group_name_Hall '-P 4 2'
_cell_length_a 4.584
_cell_length_b 4.584
_cell_length_c 4.291
_cell_angle_alpha 90.00
_cell_angle_beta 90.00
_cell_angle_gamma 90.00
loop_
_atom_site_label
_atom_site_type_symbol
_atom_site_fract_x
_atom_site_fract_y
_atom_site_fract_z
La1 La 0.000 0.000 0.000
Re1 Re 0.500 0.500 0.000
Sb1 Sb 0.000 0.500 0.500
```

=====

Entry b
Density functional theory data (GGA-PBEsol) for LaReSb2 after structural relaxation.

Properties
- crystal system = cubic
- DOS(E_F) (states/eV/cell) = 4.025

CIF file:
```
data_LaReSb2
_chemical_formula_sum 'La4 Re4 Sb8'
_symmetry_space_group_name_H-M 'F m -3 m'
_symmetry_Int_Tables_number 225
_symmetry_space_group_name_Hall '-F 4 2 3'
_cell_length_a 7.053
_cell_length_b 7.053
_cell_length_c 7.053
_cell_angle_alpha 90.00
_cell_angle_beta 90.00
_cell_angle_gamma 90.00
loop_
_atom_site_label
_atom_site_type_symbol
_atom_site_fract_x
_atom_site_fract_y
_atom_site_fract_z
La1 La 0.000 0.000 0.000
Re1 Re 0.000 0.000 0.500
Sb1 Sb 0.250 0.250 0.250
```

=====

Most stable of them? entry b.